A plane-wave DFT calculation with PBE was carried out for an optimized crystal structure of LiMnReIr.

The structure in POSCAR format:
```
LiMnReIr
1.0
4.1857 0.0000 0.0000
2.0928 3.6249 0.0000
2.0928 1.2083 3.4176
Mn Re Li Ir
1 1 1 1
Direct
0.2500 0.2500 0.2500
0.0000 0.0000 0.0000
0.5000 0.5000 0.5000
0.7500 0.7500 0.7500
```

## Properties
density of states at the Fermi level: 2.104 states/eV/f.u.
space-group type: F-43m (216)
final energy: -32.362 eV per formula unit

=====

A plane-wave DFT calculation with PBE was carried out for an optimized crystal structure of LiMnIrRh.

The structure in POSCAR format:
```
LiMnIrRh
1.0
4.1640 0.0000 0.0000
2.0820 3.6061 0.0000
2.0820 1.2020 3.3999
Mn Rh Ir Li
1 1 1 1
Direct
0.2500 0.2500 0.2500
0.5000 0.5000 0.5000
0.0000 0.0000 0.0000
0.7500 0.7500 0.7500
```

## Properties
density of states at the Fermi level: 2.922 states/eV/f.u.
space-group type: F-43m (216)
final energy: -27.961 eV per formula unit

=====

A plane-wave DFT calculation with PBE was carried out for an optimized crystal structure of LiMnIrRu.

The structure in POSCAR format:
```
LiMnIrRu
1.0
4.1512 0.0000 0.0000
2.0756 3.5951 0.0000
2.0756 1.1984 3.3895
Li Ru Mn Ir
1 1 1 1
Direct
0.2500 0.2500 0.2500
0.0000 0.0000 0.0000
0.7500 0.7500 0.7500
0.5000 0.5000 0.5000
```

## Properties
density of states at the Fermi level: 2.958 states/eV/f.u.
space-group type: F-43m (216)
final energy: -29.366 eV per formula unit

=====

A plane-wave DFT calculation with PBE was carried out for an optimized crystal structure of LiMnSiIr2.

The structure in POSCAR format:
```
LiMnSiIr2
1.0
-2.4292 0.2597 3.3991
2.2066 -3.0617 1.8109
2.4382 2.6674 1.5387
Li Si Mn Ir
1 1 1 2
Direct
0.0000 0.0000 0.0000
0.5000 0.5000 0.5000
0.0000 0.0000 0.5000
0.0000 0.5000 0.0000
0.5000 0.0000 0.0000
```

## Properties
density of states at the Fermi level: 2.390 states/eV/f.u.
space-group type: P4/mmm (123)
final energy: -30.645 eV per formula unit